## CaLa3Ru (PBE)

Data for a relaxed CaLa3Ru crystal.

Cell lengths 7.065, 9.126, 10.451 Å; angles 90.00, 90.00, 90.00 degrees
Sites, in units of the cell vectors:
Ru  0.625  0.250  0.548
Ru  0.875  0.750  0.048
Ru  0.375  0.750  0.452
Ru  0.125  0.250  0.952
Ca  0.000  0.000  0.500
Ca  0.500  0.500  0.000
Ca  0.500  0.000  0.000
Ca  0.000  0.500  0.500
La  0.032  0.930  0.850
La  0.468  0.430  0.350
La  0.468  0.070  0.350
La  0.968  0.430  0.150
La  0.968  0.070  0.150
La  0.532  0.570  0.650
La  0.532  0.930  0.650
La  0.032  0.570  0.850
La  0.269  0.250  0.710
La  0.231  0.750  0.210
La  0.731  0.750  0.290
La  0.769  0.250  0.790

Results
**Size of the total moment**: 0.00 μB/cell
**Fermi-level density of states**: 8.50 states/eV/f.u.
**Energy relative to the lowest polymorph listed for this composition**: 0.196 eV per atom
**Space group**: No. 62
**DFT formation energy**: 0.02 eV/atom